Entry from Alexandria: an optimized crystal structure of ZrCd2Tc (PBE-GGA).

The density of states at the Fermi level is 1.53 states/eV per cell. The total energy is -5.188 eV/atom. The space group is No. 139. The formation energy is -0.15 kJ/mol of atoms. The calculation puts the magnetization at 0.00 μB/cell. The distance to the lowest polymorph of the same formula comes out at 0.000 eV per atom.

abc: 5.465 5.465 5.465
angles: 136.73 136.73 62.85
Positions (direct):
Zr1 0.000 0.000 0.000
Cd1 0.250 0.750 0.500
Cd2 0.750 0.250 0.500
Tc1 0.500 0.500 0.000


Entry from Alexandria: an optimized crystal structure of PuNpPt2 (PBE-GGA).

The density of states at the Fermi level is 16.48 states/eV per cell. The total energy is -10.411 eV/atom. The space group is No. 225. The formation energy is -55.23 kJ/mol of atoms. The calculation puts the magnetization at 9.87 μB/cell. The distance to the lowest polymorph of the same formula comes out at 0.007 eV per atom.

abc: 4.953 4.953 4.953
angles: 60.00 60.00 60.00
Positions (direct):
Pu1 0.000 0.000 0.000
Np1 0.500 0.500 0.500
Pt1 0.250 0.250 0.250
Pt2 0.750 0.750 0.750


Entry from Alexandria: an optimized crystal structure of DyYPd4 (PBE-GGA).

The density of states at the Fermi level is 2.45 states/eV per cell. The total energy is -5.909 eV/atom. The space group is No. 123. The formation energy is -58.13 kJ/mol of atoms. The calculation puts the magnetization at 0.00 μB/cell. The distance to the lowest polymorph of the same formula comes out at 0.289 eV per atom.

abc: 3.936 3.936 8.495
angles: 90.00 90.00 90.00
Positions (direct):
Dy1 0.000 0.000 0.000
Y1 0.500 0.500 0.500
Pd1 0.000 0.500 0.248
Pd2 0.000 0.500 0.752
Pd3 0.500 0.000 0.248
Pd4 0.500 0.000 0.752


- Which formula does entry 3 have?
  DyYPd4


- Among the records above, which one has the highest total energy?
  ZrCd2Tc


- distance to the lowest polymorph of the same formula of number 1 (ZrCd2Tc)?
  0.000 eV per atom


- Which formula does entry 1 have?
  ZrCd2Tc